Entry 1:
# Tc2RhCl

Crystalline Tc2RhCl at its relaxed geometry (GGA-PBE, the Alexandria database).

The structure in POSCAR format:
```
Tc2RhCl
1.0
2.855 0.000 0.000
0.000 3.993 0.000
-1.422 0.000 5.240
Tc Rh Cl
2 1 1
Direct
0.000 0.000 0.000 Tc
0.396 0.500 0.788 Tc
0.744 0.000 0.505 Rh
0.453 0.500 0.221 Cl
```

DFT total energy (eV/atom): -7.05
Crystal system: monoclinic
Distance to the lowest polymorph of the same formula (meV/atom): 238


Entry 2:
# TcRh3Cl

Crystalline TcRh3Cl at its relaxed geometry (GGA-PBE, the Alexandria database).

The structure in POSCAR format:
```
TcRh3Cl
1.0
4.712 0.000 0.000
0.000 4.712 0.000
0.000 0.000 4.712
Tc Rh Cl
1 3 1
Direct
0.000 0.000 0.000 Tc
0.000 0.000 0.500 Rh
0.000 0.500 0.000 Rh
0.500 0.000 0.000 Rh
0.500 0.500 0.500 Cl
```

DFT total energy (eV/atom): -5.54
Crystal system: cubic
Distance to the lowest polymorph of the same formula (meV/atom): 209


Entry 3:
# Tc2RhCl

Crystalline Tc2RhCl at its relaxed geometry (GGA-PBE, the Alexandria database).

The structure in POSCAR format:
```
Tc2RhCl
1.0
6.152 0.000 0.000
0.000 6.152 0.000
0.000 0.000 6.152
Tc Rh Cl
8 4 4
Direct
0.250 0.250 0.250 Tc
0.250 0.250 0.750 Tc
0.250 0.750 0.250 Tc
0.250 0.750 0.750 Tc
0.750 0.250 0.250 Tc
0.750 0.250 0.750 Tc
0.750 0.750 0.250 Tc
0.750 0.750 0.750 Tc
0.000 0.000 0.000 Rh
0.000 0.500 0.500 Rh
0.500 0.000 0.500 Rh
0.500 0.500 0.000 Rh
0.000 0.000 0.500 Cl
0.000 0.500 0.000 Cl
0.500 0.000 0.000 Cl
0.500 0.500 0.500 Cl
```

DFT total energy (eV/atom): -6.78
Crystal system: cubic
Distance to the lowest polymorph of the same formula (meV/atom): 508


Entry 4:
# TcRhCl3

Crystalline TcRhCl3 at its relaxed geometry (GGA-PBE, the Alexandria database).

The structure in POSCAR format:
```
TcRhCl3
1.0
4.804 0.000 0.000
0.000 4.804 0.000
0.000 0.000 4.804
Tc Rh Cl
1 1 3
Direct
0.000 0.000 0.000 Tc
0.500 0.500 0.500 Rh
0.000 0.500 0.500 Cl
0.500 0.000 0.500 Cl
0.500 0.500 0.000 Cl
```

DFT total energy (eV/atom): -4.15
Crystal system: cubic
Distance to the lowest polymorph of the same formula (meV/atom): 0


Entry 5:
# TcRhCl2

Crystalline TcRhCl2 at its relaxed geometry (GGA-PBE, the Alexandria database).

The structure in POSCAR format:
```
TcRhCl2
1.0
2.943 0.000 0.000
0.000 4.311 0.000
0.000 0.000 11.313
Tc Rh Cl
2 2 4
Direct
0.000 0.000 0.000 Tc
0.500 0.500 0.500 Tc
0.000 0.500 0.316 Rh
0.500 0.000 0.816 Rh
0.000 0.000 0.477 Cl
0.000 0.500 0.692 Cl
0.500 0.000 0.192 Cl
0.500 0.500 0.977 Cl
```

DFT total energy (eV/atom): -4.88
Crystal system: orthorhombic
Distance to the lowest polymorph of the same formula (meV/atom): 559


Entry 6:
# TcRhCl2

Crystalline TcRhCl2 at its relaxed geometry (GGA-PBE, the Alexandria database).

The structure in POSCAR format:
```
TcRhCl2
1.0
3.022 0.000 0.000
0.000 3.028 0.000
-1.485 0.000 8.319
Tc Rh Cl
1 1 2
Direct
0.000 0.000 0.000 Tc
0.412 0.500 0.821 Rh
0.108 0.500 0.220 Cl
0.814 0.000 0.618 Cl
```

DFT total energy (eV/atom): -5.44
Crystal system: monoclinic
Distance to the lowest polymorph of the same formula (meV/atom): 0


Entry 7:
# Tc2RhCl

Crystalline Tc2RhCl at its relaxed geometry (GGA-PBE, the Alexandria database).

The structure in POSCAR format:
```
Tc2RhCl
1.0
5.467 0.000 0.000
0.000 5.467 0.000
0.000 0.000 10.546
Tc Rh Cl
8 4 4
Direct
0.231 0.250 0.125 Tc
0.250 0.731 0.375 Tc
0.250 0.769 0.875 Tc
0.269 0.250 0.625 Tc
0.731 0.750 0.625 Tc
0.750 0.231 0.875 Tc
0.750 0.269 0.375 Tc
0.769 0.750 0.125 Tc
0.000 0.000 0.500 Rh
0.000 0.500 0.750 Rh
0.500 0.000 0.250 Rh
0.500 0.500 0.000 Rh
0.000 0.000 0.000 Cl
0.000 0.500 0.250 Cl
0.500 0.000 0.750 Cl
0.500 0.500 0.500 Cl
```

DFT total energy (eV/atom): -6.44
Crystal system: tetragonal
Distance to the lowest polymorph of the same formula (meV/atom): 845


Entry 8:
# TcRh3Cl

Crystalline TcRh3Cl at its relaxed geometry (GGA-PBE, the Alexandria database).

The structure in POSCAR format:
```
TcRh3Cl
1.0
4.395 0.000 0.000
0.000 4.395 0.000
0.000 0.000 4.395
Tc Rh Cl
1 3 1
Direct
0.000 0.000 0.000 Tc
0.000 0.500 0.500 Rh
0.500 0.000 0.500 Rh
0.500 0.500 0.000 Rh
0.500 0.500 0.500 Cl
```

DFT total energy (eV/atom): -5.75
Crystal system: cubic
Distance to the lowest polymorph of the same formula (meV/atom): 0


> What is the distance to the lowest polymorph of the same formula in the second record?

209 meV/atom


> Which of these has the highest DFT total energy?

TcRhCl3


What did the fourth record say?
# TcRhCl3

Crystalline TcRhCl3 at its relaxed geometry (GGA-PBE, the Alexandria database).

The structure in POSCAR format:
```
TcRhCl3
1.0
4.804 0.000 0.000
0.000 4.804 0.000
0.000 0.000 4.804
Tc Rh Cl
1 1 3
Direct
0.000 0.000 0.000 Tc
0.500 0.500 0.500 Rh
0.000 0.500 0.500 Cl
0.500 0.000 0.500 Cl
0.500 0.500 0.000 Cl
```

DFT total energy (eV/atom): -4.15
Crystal system: cubic
Distance to the lowest polymorph of the same formula (meV/atom): 0